Entry 1:
First-principles (PBEsol) data for ZrScIn2 after structural relaxation, as listed in Alexandria via LeMat-Bulk.

extended XYZ file:
```
4
Lattice="4.947 0.000 0.000 2.474 4.285 0.000 2.474 1.428 4.039" Properties=species:S:1:pos:R:3 pbc="T T T"
Sc 0.000 0.000 0.000
Zr 4.947 2.856 2.020
In 2.474 1.428 1.010
In 7.421 4.285 3.030
```

## Properties
For the formation enthalpy at 0 K, the calculation gives -0.322 eV per atom. For the electronic total energy, the calculation gives -5.74 eV per atom.

Entry 2:
First-principles (PBEsol) data for RbBa2NbS after structural relaxation, as listed in Alexandria via LeMat-Bulk.

extended XYZ file:
```
5
Lattice="-1.399 2.144 4.014 2.686 -4.578 3.382 5.383 3.259 0.135" Properties=species:S:1:pos:R:3 pbc="T T T"
S 0.000 0.000 0.000
Nb -0.699 1.072 2.007
Ba 2.692 1.629 0.068
Ba 1.343 -2.289 1.691
Rb 3.335 0.412 3.766
```

## Properties
For the electronic total energy, the calculation gives -4.19 eV per atom.